KCoCu3 after structural relaxation. Source: Alexandria, functional PBE-GGA.

Summary:
space group = Pm-3m (221)
magnetization = 0.332 μB per atom
energy above the lowest structure with this stoichiometry = 1.3755 eV per atom
calculated density = 4.273 g cm⁻³

Geometry as POSCAR:
```
KCoCu3
1.0
4.8229 0.0000 0.0000
0.0000 4.8229 0.0000
0.0000 0.0000 4.8229
K Co Cu
1 1 3
direct
0.0000 0.0000 0.0000
0.5000 0.5000 0.5000
0.0000 0.0000 0.5000
0.0000 0.5000 0.0000
0.5000 0.0000 0.0000
```



CoPb5 after structural relaxation. Source: Alexandria, functional PBE-GGA.

Summary:
space group = F-43m (216)
magnetization = 0.294 μB per atom
calculated density = 9.757 g cm⁻³
uncorrected energy = -3.62 eV/atom

Geometry as POSCAR:
```
CoPb5
1.0
0.0000 4.5335 4.5335
4.5335 0.0000 4.5335
4.5335 4.5335 0.0000
Co Pb
1 5
direct
0.0000 0.0000 0.0000
0.3747 0.3747 0.3747
0.3747 0.3747 0.8758
0.3747 0.8758 0.3747
0.7500 0.7500 0.7500
0.8758 0.3747 0.3747
```



BeNbH after structural relaxation. Source: Alexandria, functional PBE-GGA.

Summary:
space group = Cm (8)
magnetization = 0.000 μB per atom
energy above the lowest structure with this stoichiometry = 0.1622 eV per atom
calculated density = 5.951 g cm⁻³

Geometry as POSCAR:
```
BeNbH
1.0
4.7412 -1.7404 0.0000
4.7412 1.7404 0.0000
-0.0166 0.0000 3.4807
Be Nb H
2 2 2
direct
0.0000 0.0000 0.0000
0.1400 0.1400 0.5098
0.4220 0.4220 0.5028
0.7283 0.7283 0.9975
0.1629 0.1629 0.0795
0.5192 0.5192 0.0005
```



TaCdCo after structural relaxation. Source: Alexandria, functional PBE-GGA.

Summary:
space group = P3m1 (156)
magnetization = 0.207 μB per atom
energy above the lowest structure with this stoichiometry = 0.1961 eV per atom
calculated density = 12.119 g cm⁻³

Geometry as POSCAR:
```
TaCdCo
1.0
4.4558 0.0000 0.0000
-2.2279 3.8588 0.0000
0.0000 0.0000 2.8074
Ta Cd Co
1 1 1
direct
0.0000 0.0000 0.0000
0.3333 0.6667 0.4647
0.6667 0.3333 0.7413
```



Please write out number 3 again, unchanged.
BeNbH after structural relaxation. Source: Alexandria, functional PBE-GGA.

Summary:
space group = Cm (8)
magnetization = 0.000 μB per atom
energy above the lowest structure with this stoichiometry = 0.1622 eV per atom
calculated density = 5.951 g cm⁻³

Geometry as POSCAR:
```
BeNbH
1.0
4.7412 -1.7404 0.0000
4.7412 1.7404 0.0000
-0.0166 0.0000 3.4807
Be Nb H
2 2 2
direct
0.0000 0.0000 0.0000
0.1400 0.1400 0.5098
0.4220 0.4220 0.5028
0.7283 0.7283 0.9975
0.1629 0.1629 0.0795
0.5192 0.5192 0.0005
```